VASP calculation (PBE-GGA) on a relaxed structure of CdCuP2Os.

Results
The calculation puts the total energy at -4.09 eV per atom. The formation energy comes out at 127.78 kJ/mol of atoms. As for the crystal system: tetragonal.

Lattice parameters (Å, degrees): 4.331 4.331 4.794 90.00 90.00 90.00
Positions (direct):
Cd 0.000 0.000 0.000
Cu 0.000 0.000 0.500
P 0.000 0.500 0.500
P 0.500 0.000 0.500
Os 0.500 0.500 0.000